(1)
PBE AuC, relaxed; ΔE to the lowest computed polymorph = 220 meV per atom; calculated total energy = -4.149 eV per atom
1.0
1.6003 0.9239 2.8156
-1.6003 0.9239 2.8156
0.0000 -1.8479 2.8156
Au C
1 1
direct
0.0000 0.0000 0.0000
0.5000 0.5000 0.5000

(2)
PBE Au2C3, relaxed; calculated total energy = -5.571 eV per atom
1.0
-2.5081 -1.8902 7.1139
-2.0676 4.9180 1.3303
-7.0975 0.6116 5.4079
Au C
4 6
direct
0.9778 0.3931 0.1781
0.0719 0.7991 0.2722
0.3931 0.9778 0.4509
0.7991 0.0719 0.8569
0.3640 0.0623 0.1864
0.8627 0.0636 0.1877
0.2599 0.2599 0.2401
0.0623 0.3640 0.3873
0.0636 0.8627 0.8860
0.0099 0.0099 0.9901

(3)
PBE AuC, relaxed; ΔE to the lowest computed polymorph = 369 meV per atom; calculated total energy = -4.001 eV per atom
1.0
-2.9537 1.2921 -0.3694
0.5183 -3.1098 -0.7685
-0.6856 -0.7878 2.7258
Au C
1 1
direct
0.0000 0.0000 0.0000
0.3333 0.6666 0.5000